Entry 1:
Here is a relaxed La3Tb2Y2 crystal from Alexandria via LeMat-Bulk. Energies are from GGA-PBE.

Summary:
- size of the total moment (μB/cell) = 0.0
- E (eV per atom) = -5.24
- DFT formation energy (eV/atom) = 0.0445
- ΔE to the lowest computed polymorph (eV/atom) = 0.0000
- D(E_F) (states/eV/f.u.) = 10.458

Lattice parameters (Å, degrees): 3.589 5.671 23.453 90.00 90.00 90.00
Atoms (fractional coordinates):
La1 0.000 0.000 0.000
La2 0.000 0.500 0.220
La3 0.000 0.500 0.780
La4 0.500 0.000 0.280
La5 0.500 0.000 0.720
La6 0.500 0.500 0.500
Tb1 0.000 0.000 0.143
Tb2 0.000 0.000 0.857
Tb3 0.500 0.500 0.357
Tb4 0.500 0.500 0.643
Y1 0.000 0.000 0.422
Y2 0.000 0.000 0.578
Y3 0.500 0.500 0.078
Y4 0.500 0.500 0.922

***

Entry 2:
Here is a relaxed Pu4Bi2H3 crystal from Alexandria via LeMat-Bulk. Energies are from GGA-PBE.

Summary:
- size of the total moment (μB/cell) = 46.0
- E (eV per atom) = -8.61
- D(E_F) (states/eV/f.u.) = 27.368

Lattice parameters (Å, degrees): 8.675 8.675 7.454 90.00 90.00 139.50
Atoms (fractional coordinates):
Pu1 0.204 0.296 0.750
Pu2 0.204 0.796 0.968
Pu3 0.296 0.204 0.250
Pu4 0.296 0.704 0.468
Pu5 0.704 0.296 0.532
Pu6 0.704 0.796 0.750
Pu7 0.796 0.204 0.032
Pu8 0.796 0.704 0.250
Bi1 0.115 0.885 0.594
Bi2 0.385 0.615 0.094
Bi3 0.615 0.385 0.906
Bi4 0.885 0.115 0.406
H1 0.000 0.000 0.000
H2 0.040 0.460 0.750
H3 0.460 0.040 0.250
H4 0.500 0.500 0.500
H5 0.540 0.960 0.750
H6 0.960 0.540 0.250

***

Entry 3:
Here is a relaxed YRePtCl2 crystal from Alexandria via LeMat-Bulk. Energies are from GGA-PBE.

Summary:
- size of the total moment (μB/cell) = 0.0
- E (eV per atom) = -5.61
- uncorrected formation energy (eV/f.u.) = 0.581
- D(E_F) (states/eV/f.u.) = 5.456

Lattice parameters (Å, degrees): 4.607 4.607 5.211 90.00 90.00 90.00
Atoms (fractional coordinates):
Y1 0.000 0.000 0.000
Re1 0.500 0.500 0.500
Pt1 0.500 0.500 0.000
Cl1 0.000 0.500 0.500
Cl2 0.500 0.000 0.500

***

Please write out number 1 again, unchanged.
Here is a relaxed La3Tb2Y2 crystal from Alexandria via LeMat-Bulk. Energies are from GGA-PBE.

Summary:
- size of the total moment (μB/cell) = 0.0
- E (eV per atom) = -5.24
- DFT formation energy (eV/atom) = 0.0445
- ΔE to the lowest computed polymorph (eV/atom) = 0.0000
- D(E_F) (states/eV/f.u.) = 10.458

Lattice parameters (Å, degrees): 3.589 5.671 23.453 90.00 90.00 90.00
Atoms (fractional coordinates):
La1 0.000 0.000 0.000
La2 0.000 0.500 0.220
La3 0.000 0.500 0.780
La4 0.500 0.000 0.280
La5 0.500 0.000 0.720
La6 0.500 0.500 0.500
Tb1 0.000 0.000 0.143
Tb2 0.000 0.000 0.857
Tb3 0.500 0.500 0.357
Tb4 0.500 0.500 0.643
Y1 0.000 0.000 0.422
Y2 0.000 0.000 0.578
Y3 0.500 0.500 0.078
Y4 0.500 0.500 0.922

***

- D(E_F) of number 1 (La3Tb2Y2)?
  10.458 states/eV/f.u.

***

Repeat the first record exactly.
Here is a relaxed La3Tb2Y2 crystal from Alexandria via LeMat-Bulk. Energies are from GGA-PBE.

Summary:
- size of the total moment (μB/cell) = 0.0
- E (eV per atom) = -5.24
- DFT formation energy (eV/atom) = 0.0445
- ΔE to the lowest computed polymorph (eV/atom) = 0.0000
- D(E_F) (states/eV/f.u.) = 10.458

Lattice parameters (Å, degrees): 3.589 5.671 23.453 90.00 90.00 90.00
Atoms (fractional coordinates):
La1 0.000 0.000 0.000
La2 0.000 0.500 0.220
La3 0.000 0.500 0.780
La4 0.500 0.000 0.280
La5 0.500 0.000 0.720
La6 0.500 0.500 0.500
Tb1 0.000 0.000 0.143
Tb2 0.000 0.000 0.857
Tb3 0.500 0.500 0.357
Tb4 0.500 0.500 0.643
Y1 0.000 0.000 0.422
Y2 0.000 0.000 0.578
Y3 0.500 0.500 0.078
Y4 0.500 0.500 0.922